# 1
Computed, not measured: crystalline Tb3Nd3Sm2 at its relaxed geometry at the GGA-PBE level of DFT.

* DFT formation energy: 8.5 kJ per mole of atoms
* energy: -36.93 eV per cell

a b c (Å): 5.8441 6.0781 8.7539
angles (deg): 110.95 109.50 90.00
Closest atoms and distances in Å follow each position.
Atoms (fractional coordinates):
1 Tb 0.1307 0.6819 0.2614  1 Tb 3.40, 4 Sm 3.48-3.61, 5 Nd 3.55-3.77
2 Tb 0.8693 0.3181 0.7386  1 Tb 3.40, 4 Sm 3.48-3.61, 5 Nd 3.55-3.77
3 Tb 0.0000 0.0000 0.0000  2 Tb 3.40, 4 Nd 3.58
4 Nd 0.3664 0.9238 0.7327  1 Nd 3.36, 4 Sm 3.45-3.59, 3 Tb 3.58-3.60
5 Nd 0.6336 0.0762 0.2673  1 Nd 3.36, 4 Sm 3.45-3.59, 3 Tb 3.58-3.60
6 Nd 0.5000 0.5000 0.0000  2 Nd 3.36, 4 Tb 3.55
7 Sm 0.2499 0.3170 0.4997  5 Nd 3.45-3.85, 5 Tb 3.48-3.83, 2 Sm 3.67
8 Sm 0.7501 0.6830 0.5003  5 Nd 3.45-3.85, 5 Tb 3.48-3.83, 2 Sm 3.67

***

# 2
Computed, not measured: crystalline Sm6Tm2Se3 at its relaxed geometry at the GGA-PBE level of DFT.

* ΔE_f (raw): -0.889 eV per atom
* energy: -57.49 eV per cell

a b c (Å): 3.8738 3.8738 25.4892
angles (deg): 85.64 85.64 60.00
Closest atoms and distances in Å follow each position.
Atoms (fractional coordinates):
1 Sm 0.3582 0.3582 0.9255  6 Se 2.91-2.93
2 Sm 0.6418 0.6418 0.0745  6 Se 2.91-2.93
3 Sm 0.8147 0.8147 0.5559  3 Tm 3.58, 9 Sm 3.61-3.87
4 Sm 0.1853 0.1853 0.4441  3 Tm 3.58, 9 Sm 3.61-3.87
5 Sm 0.9256 0.9256 0.2231  3 Se 2.94
6 Sm 0.0744 0.0744 0.7769  3 Se 2.94
7 Tm 0.4446 0.4446 0.6662  6 Sm 3.58-3.59, 6 Tm 3.87
8 Tm 0.5554 0.5554 0.3338  6 Sm 3.58-3.59, 6 Tm 3.87
9 Se 0.0000 0.0000 0.0000  6 Sm 2.93
10 Se 0.7159 0.7159 0.8522  6 Sm 2.91-2.94
11 Se 0.2841 0.2841 0.1478  6 Sm 2.91-2.94

***

# 3
Computed, not measured: crystalline Sr8Ni2Br at its relaxed geometry at the GGA-PBE level of DFT.

* ΔE_f (raw): -0.206 eV per atom
* energy: -28.95 eV per cell

a b c (Å): 6.1731 9.2297 10.4643
angles (deg): 127.27 87.56 90.56
Closest atoms and distances in Å follow each position.
Atoms (fractional coordinates):
1 Sr 0.7509 0.2054 0.5820  3 Ni 3.04-3.09
2 Sr 0.2450 0.5793 0.7135  1 Ni 2.89
3 Sr 0.2431 0.3032 0.9188  1 Ni 2.91
4 Sr 0.7569 0.6968 0.0812  1 Ni 2.91
5 Sr 0.2491 0.7946 0.4179  3 Ni 3.04-3.09
6 Sr 0.2800 0.0991 0.2724  1 Ni 2.91, 1 Br 3.03
7 Sr 0.7200 0.9009 0.7276  1 Ni 2.91, 1 Br 3.03
8 Sr 0.7550 0.4207 0.2864  1 Ni 2.89
9 Ni 0.7504 0.7956 0.4030  6 Sr 2.89-3.09
10 Ni 0.2496 0.2044 0.5970  6 Sr 2.89-3.09
11 Br 0.0000 0.0000 0.0000  2 Sr 3.03

***

# 4
Computed, not measured: crystalline TlCrSn2Os at its relaxed geometry at the GGA-PBE level of DFT.

* DFT formation energy: 231.5 kJ per mole of atoms
* energy: -19.23 eV per cell

a b c (Å): 5.4523 4.8927 5.4523
angles (deg): 90.00 90.00 90.00
Closest atoms and distances in Å follow each position.
Atoms (fractional coordinates):
1 Os 0.5000 0.5000 0.5000  8 Sn 3.66, 4 Cr 3.86
2 Tl 0.0000 0.0000 0.0000  2 Cr 2.45, 4 Sn 2.73
3 Sn 0.0000 0.0000 0.5000  2 Tl 2.73
4 Sn 0.5000 0.0000 0.0000  2 Tl 2.73
5 Cr 0.0000 0.5000 0.0000  2 Tl 2.45

***

# 5
Computed, not measured: crystalline LiBe2Ag at its relaxed geometry at the GGA-PBE level of DFT.

* DFT formation energy: 11.0 kJ per mole of atoms
* energy: -11.76 eV per cell

a b c (Å): 4.0371 4.0371 4.0371
angles (deg): 60.00 60.00 60.00
Closest atoms and distances in Å follow each position.
Atoms (fractional coordinates):
1 Ag 0.5000 0.5000 0.5000  8 Be 2.47
2 Be 0.7500 0.7500 0.7500  4 Li 2.47, 4 Ag 2.47
3 Be 0.2500 0.2500 0.2500  4 Li 2.47, 4 Ag 2.47
4 Li 0.0000 0.0000 0.0000  8 Be 2.47

***

# 6
Computed, not measured: crystalline AlGa2IrI at its relaxed geometry at the GGA-PBE level of DFT.

* ΔE_f (raw): 1.673 eV per atom
* energy: -11.84 eV per cell

a b c (Å): 5.7268 5.4435 5.7268
angles (deg): 90.00 90.00 90.00
Closest atoms and distances in Å follow each position.
Atoms (fractional coordinates):
1 Ga 0.0000 0.0000 0.5000  2 I 2.86
2 Ga 0.5000 0.0000 0.0000  2 I 2.86
3 Ir 0.5000 0.5000 0.5000  8 Ga 3.95, 4 Al 4.05
4 I 0.0000 0.0000 0.0000  2 Al 2.72, 4 Ga 2.86
5 Al 0.0000 0.5000 0.0000  2 I 2.72

***

# 7
Computed, not measured: crystalline Ba2InAu2O6 at its relaxed geometry at the GGA-PBE level of DFT.

* ΔE_f (raw): -1.143 eV per atom
* energy: -55.46 eV per cell

a b c (Å): 6.2721 6.2721 6.8572
angles (deg): 62.78 62.78 60.00
Closest atoms and distances in Å follow each position.
Atoms (fractional coordinates):
1 O 0.2317 0.2317 0.7382  1 Au 2.06, 1 In 2.19
2 O 0.2015 0.7683 0.2618  1 Au 2.06, 1 In 2.19
3 O 0.7985 0.2317 0.7382  1 Au 2.06, 1 In 2.19
4 O 0.2317 0.7985 0.7382  1 Au 2.06, 1 In 2.19
5 O 0.7683 0.7683 0.2618  1 Au 2.06, 1 In 2.19
6 O 0.7683 0.2015 0.2618  1 Au 2.06, 1 In 2.19
7 Au 0.4130 0.4130 0.7609  3 O 2.06
8 Au 0.5870 0.5870 0.2391  3 O 2.06
9 Ba 0.7848 0.7848 0.6455  3 O 2.73
10 Ba 0.2152 0.2152 0.3545  3 O 2.73
11 In 0.0000 0.0000 0.0000  6 O 2.19

***

# 8
Computed, not measured: crystalline Cd2TcPS at its relaxed geometry at the GGA-PBE level of DFT.

* ΔE_f (raw): 0.695 eV per atom
* energy: -18.26 eV per cell

a b c (Å): 5.3917 4.3086 5.3917
angles (deg): 90.00 90.00 90.00
Closest atoms and distances in Å follow each position.
Atoms (fractional coordinates):
1 Cd 0.0000 0.0000 0.5000  2 Tc 2.70
2 Cd 0.5000 0.0000 0.0000  2 Tc 2.70
3 Tc 0.0000 0.0000 0.0000  2 S 2.15
4 P 0.5000 0.5000 0.5000  8 Cd 3.45, 4 S 3.81
5 S 0.0000 0.5000 0.0000  2 Tc 2.15